Record 1
BeCu2W at its PBEsol-relaxed geometry, computed with meta-GGA SCAN.

## Properties
Size of the total moment in μB per cell: 0.00
DOS at the Fermi energy in states/eV/cell: 1.758
Volume in Å³ per cell: 48.7
Formation enthalpy at 0 K in eV/atom: 0.253
SG: R-3m, No. 166
Total energy in eV per atom: -25.857

Lattice parameters (Å, degrees): 2.6150 2.6150 8.3540 81.00 81.00 60.00
Last column: nearest neighbours and their distance in Å.
Atoms (fractional coordinates):
Cu 0.2593 0.2593 0.2221  3 Be 2.37, 6 Cu 2.62
Cu 0.7407 0.7407 0.7779  3 Be 2.37, 6 Cu 2.62
Be 0.0000 0.0000 0.0000  6 Cu 2.37, 6 Be 2.62
W 0.5000 0.5000 0.5000  6 W 2.62, 6 Cu 2.74

---

Record 2
YCdOs at its PBEsol-relaxed geometry, computed with meta-GGA SCAN.

## Properties
Size of the total moment in μB per cell: 0.00
DOS at the Fermi energy in states/eV/cell: 2.534
Volume in Å³ per cell: 70.5
Formation enthalpy at 0 K in eV/atom: 0.884
SG: F-43m, No. 216
Total energy in eV per atom: -42.495

Lattice parameters (Å, degrees): 4.6374 4.6374 4.6374 60.00 60.00 60.00
Last column: nearest neighbours and their distance in Å.
Atoms (fractional coordinates):
Os 0.5000 0.5000 0.5000  4 Y 2.84
Cd 0.0000 0.0000 0.0000  4 Y 2.84
Y 0.2500 0.2500 0.2500  4 Cd 2.84, 4 Os 2.84

---

Record 3
TaCoTe2 at its PBEsol-relaxed geometry, computed with meta-GGA SCAN.

## Properties
Size of the total moment in μB per cell: 0.01
DOS at the Fermi energy in states/eV/cell: 3.513
Raw formation energy in meV per atom: 472
Volume in Å³ per cell: 71.6
SG: P4/mmm, No. 123
Total energy in eV per atom: -39.125

Lattice parameters (Å, degrees): 3.3753 4.6054 4.6054 90.00 90.00 90.00
Last column: nearest neighbours and their distance in Å.
Atoms (fractional coordinates):
Co 0.5000 0.5000 0.5000  8 Te 2.85
Ta 0.5000 0.0000 0.0000  8 Te 2.85
Te 0.0000 0.5000 0.0000  4 Ta 2.85, 4 Co 2.85
Te 0.0000 0.0000 0.5000  4 Ta 2.85, 4 Co 2.85

---

Record 4
TlTcAu4 at its PBEsol-relaxed geometry, computed with meta-GGA SCAN.

## Properties
Size of the total moment in μB per cell: 3.79
DOS at the Fermi energy in states/eV/cell: 1.745
Volume in Å³ per cell: 114.0
Formation enthalpy at 0 K in eV/atom: 0.421
SG: F-43m, No. 216
Total energy in eV per atom: -63.587

Lattice parameters (Å, degrees): 5.4423 5.4423 5.4423 60.00 60.00 60.00
Last column: nearest neighbours and their distance in Å.
Atoms (fractional coordinates):
Au 0.3753 0.3753 0.8740  6 Au 2.71-2.73
Au 0.3753 0.8740 0.3753  6 Au 2.71-2.73
Au 0.8740 0.3753 0.3753  6 Au 2.71-2.73
Au 0.3753 0.3753 0.3753  6 Au 2.71-2.73
Tl 0.0000 0.0000 0.0000  12 Au 3.19, 4 Tc 3.33
Tc 0.7500 0.7500 0.7500  12 Au 3.19, 4 Tl 3.33

---

Record 5
KCuN at its PBEsol-relaxed geometry, computed with meta-GGA SCAN.

## Properties
Size of the total moment in μB per cell: 0.00
DOS at the Fermi energy in states/eV/cell: 2.420
Raw formation energy in meV per atom: 194
Volume in Å³ per cell: 122.6
SG: Cc, No. 9
Total energy in eV per atom: -10.746

Lattice parameters (Å, degrees): 3.4447 4.5444 8.4648 89.99 90.00 112.27
Last column: nearest neighbours and their distance in Å.
Atoms (fractional coordinates):
K 0.0133 0.0244 0.5344  2 N 2.88, 2 Cu 3.11
K 0.0111 0.0244 0.0344  2 N 2.88, 2 Cu 3.11
Cu 0.2787 0.5673 0.7843  2 N 1.72
Cu 0.2886 0.5673 0.2843  2 N 1.72
N 0.7752 0.5604 0.7843  2 Cu 1.72
N 0.7852 0.5604 0.2843  2 Cu 1.72

---

Record 6
ScMo2Os at its PBEsol-relaxed geometry, computed with meta-GGA SCAN.

## Properties
Size of the total moment in μB per cell: 0.00
DOS at the Fermi energy in states/eV/cell: 2.346
ΔE to the lowest computed polymorph in meV per atom: 0
Volume in Å³ per cell: 62.6
Formation enthalpy at 0 K in eV/atom: -0.161
SG: Immm, No. 71
Total energy in eV per atom: -39.133

Lattice parameters (Å, degrees): 3.1244 4.3840 5.3048 114.41 107.13 90.00
Last column: nearest neighbours and their distance in Å.
Atoms (fractional coordinates):
Os 0.5000 0.0000 0.0000  4 Sc 2.69, 4 Mo 2.71
Mo 0.2427 0.2427 0.4855  4 Mo 2.69, 2 Os 2.71, 2 Sc 2.82
Mo 0.7573 0.7573 0.5145  4 Mo 2.69, 2 Os 2.71, 2 Sc 2.82
Sc 0.0000 0.5000 0.0000  4 Os 2.69, 4 Mo 2.82

---

Record 7
SbMo3Au at its PBEsol-relaxed geometry, computed with meta-GGA SCAN.

## Properties
Size of the total moment in μB per cell: 3.46
DOS at the Fermi energy in states/eV/cell: 7.018
Raw formation energy in meV per atom: 2002
Volume in Å³ per cell: 111.0
SG: Pm-3m, No. 221
Total energy in eV per atom: -40.213

Lattice parameters (Å, degrees): 4.8063 4.8063 4.8063 90.00 90.00 90.00
Last column: nearest neighbours and their distance in Å.
Atoms (fractional coordinates):
Mo 0.5000 0.0000 0.0000  2 Au 2.40
Mo 0.0000 0.0000 0.5000  2 Au 2.40
Mo 0.0000 0.5000 0.0000  2 Au 2.40
Sb 0.5000 0.5000 0.5000  12 Mo 3.40
Au 0.0000 0.0000 0.0000  6 Mo 2.40

---

Record 8
SrTe2Pb at its PBEsol-relaxed geometry, computed with meta-GGA SCAN.

## Properties
Size of the total moment in μB per cell: 0.00
DOS at the Fermi energy in states/eV/cell: 0.000
Raw formation energy in meV per atom: -1136
Volume in Å³ per cell: 139.6
SG: R-3m, No. 166
Total energy in eV per atom: -44.276

Lattice parameters (Å, degrees): 4.6124 4.6124 8.0316 73.31 73.31 60.00
Last column: nearest neighbours and their distance in Å.
Atoms (fractional coordinates):
Te 0.7518 0.7518 0.7445  3 Pb 3.24, 3 Sr 3.29
Te 0.2482 0.2482 0.2555  3 Pb 3.24, 3 Sr 3.29
Sr 0.0000 0.0000 0.0000  6 Te 3.29
Pb 0.5000 0.5000 0.5000  6 Te 3.24

---

Record 9
ZrAl5Ni2 at its PBEsol-relaxed geometry, computed with meta-GGA SCAN.

## Properties
Size of the total moment in μB per cell: 0.01
DOS at the Fermi energy in states/eV/cell: 2.308
Volume in Å³ per cell: 114.9
Formation enthalpy at 0 K in eV/atom: -0.666
SG: I4/mmm, No. 139
Total energy in eV per atom: -13.392

Lattice parameters (Å, degrees): 3.9863 3.9863 7.7581 104.89 104.89 90.00
Last column: nearest neighbours and their distance in Å.
Atoms (fractional coordinates):
Al 0.3521 0.8521 0.7043  4 Ni 2.40-2.57
Al 0.1479 0.6479 0.2957  4 Ni 2.40-2.57
Al 0.5000 0.5000 0.0000  4 Zr 2.82, 8 Al 2.92
Al 0.8521 0.3521 0.7043  4 Ni 2.40-2.57
Al 0.6479 0.1479 0.2957  4 Ni 2.40-2.57
Ni 0.7601 0.7601 0.5203  8 Al 2.40-2.57
Ni 0.2399 0.2399 0.4797  8 Al 2.40-2.57
Zr 0.0000 0.0000 0.0000  12 Al 2.82-2.92

---

Record 10
GaMo2C at its PBEsol-relaxed geometry, computed with meta-GGA SCAN.

## Properties
Size of the total moment in μB per cell: 0.00
DOS at the Fermi energy in states/eV/cell: 3.932
ΔE to the lowest computed polymorph in meV per atom: 0
Volume in Å³ per cell: 104.1
Formation enthalpy at 0 K in eV/atom: -0.105
SG: P6_3/mmc, No. 194
Total energy in eV per atom: -24.159

Lattice parameters (Å, degrees): 3.0334 3.0334 13.0577 90.00 90.00 120.00
Last column: nearest neighbours and their distance in Å.
Atoms (fractional coordinates):
Mo 0.6667 0.3333 0.9112  3 C 2.10
Mo 0.3333 0.6667 0.0888  3 C 2.10
Mo 0.6667 0.3333 0.5888  3 C 2.10
Mo 0.3333 0.6667 0.4112  3 C 2.10
C 0.0000 0.0000 0.5000  6 Mo 2.10
C 0.0000 0.0000 0.0000  6 Mo 2.10
Ga 0.6667 0.3333 0.2500  6 Mo 2.74, 6 Ga 3.03
Ga 0.3333 0.6667 0.7500  6 Mo 2.74, 6 Ga 3.03

---

Record 11
SbTePb4 at its PBEsol-relaxed geometry, computed with meta-GGA SCAN.

## Properties
Size of the total moment in μB per cell: 0.00
DOS at the Fermi energy in states/eV/cell: 2.635
Raw formation energy in meV per atom: 287
Volume in Å³ per cell: 183.1
SG: F-43m, No. 216
Total energy in eV per atom: -62.652

Lattice parameters (Å, degrees): 6.3739 6.3739 6.3739 60.00 60.00 60.00
Last column: nearest neighbours and their distance in Å.
Atoms (fractional coordinates):
Pb 0.3752 0.3752 0.8744  6 Pb 3.18-3.19
Pb 0.3752 0.8744 0.3752  6 Pb 3.18-3.19
Pb 0.3752 0.3752 0.3752  6 Pb 3.18-3.19
Pb 0.8744 0.3752 0.3752  6 Pb 3.18-3.19
Te 0.0000 0.0000 0.0000  12 Pb 3.74, 4 Sb 3.90
Sb 0.7500 0.7500 0.7500  12 Pb 3.74, 4 Te 3.90

---

Record 12
Pr3ReO7 at its PBEsol-relaxed geometry, computed with meta-GGA SCAN.

## Properties
Size of the total moment in μB per cell: 4.01
DOS at the Fermi energy in states/eV/cell: 5.468
Raw formation energy in meV per atom: -3047
Volume in Å³ per cell: 309.6
SG: Cmcm, No. 63
Total energy in eV per atom: -25.291

Lattice parameters (Å, degrees): 6.6388 6.6388 7.5658 90.00 90.00 111.80
Last column: nearest neighbours and their distance in Å.
Atoms (fractional coordinates):
O 0.9356 0.6859 0.4656  1 Re 1.98
O 0.3979 0.6588 0.7500  4 Pr 2.29-2.38
O 0.6021 0.3412 0.2500  4 Pr 2.29-2.38
O 0.6859 0.9356 0.4656  1 Re 1.98
O 0.6588 0.3979 0.7500  4 Pr 2.29-2.38
O 0.3141 0.0644 0.9656  1 Re 1.98
O 0.6859 0.9356 0.0344  1 Re 1.98
O 0.0498 0.0498 0.2500  2 Re 1.93
O 0.0644 0.3141 0.9656  1 Re 1.98
O 0.0644 0.3141 0.5344  1 Re 1.98
O 0.3141 0.0644 0.5344  1 Re 1.98
O 0.9356 0.6859 0.0344  1 Re 1.98
O 0.3412 0.6021 0.2500  4 Pr 2.29-2.38
O 0.9502 0.9502 0.7500  2 Re 1.93
Re 0.0000 0.0000 0.5000  6 O 1.93-1.98
Re 0.0000 0.0000 0.0000  6 O 1.93-1.98
Pr 0.5815 0.0316 0.7500  6 O 2.29-2.48
Pr 0.5000 0.5000 0.5000  4 O 2.38
Pr 0.0316 0.5815 0.7500  6 O 2.29-2.48
Pr 0.9684 0.4185 0.2500  6 O 2.29-2.48
Pr 0.5000 0.5000 0.0000  4 O 2.38
Pr 0.4185 0.9684 0.2500  6 O 2.29-2.48

---

- What is the formula in the fourth record?
  TlTcAu4

---

- Which value of volume does entry 5 give?
  122.6 Å³ per cell